DyPaP2Rh5: optimized geometry, PBE-GGA.

energy: -7.6798 eV per atom
volume: 19.2 A^3/atom
ΔH_f (0 K): -827.0 meV per atom
crystal system: tetragonal
N(E_F): 3.12 states/eV/cell
SG: P4/mmm (123)

a = 4.0162 Å, b = 4.0162 Å, c = 10.6917 Å
α = 90.00°, β = 90.00°, γ = 90.00°
Last column: nearest neighbours and their distance in Å.
Fractional positions:
Dy: 0.0000 0.0000 0.5000  4 Rh 2.84
Pa: 0.0000 0.0000 0.0000  8 Rh 2.81
P: 0.5000 0.5000 0.2888  5 Rh 2.26-2.30
P: 0.5000 0.5000 0.7112  5 Rh 2.26-2.30
Rh: 0.0000 0.5000 0.1837  2 P 2.30
Rh: 0.5000 0.0000 0.1837  2 P 2.30
Rh: 0.0000 0.5000 0.8163  2 P 2.30
Rh: 0.5000 0.0000 0.8163  2 P 2.30
Rh: 0.5000 0.5000 0.5000  2 P 2.26